Entry from Alexandria: an optimized crystal structure of Ca14MnBi11 (PBE).

CIF file:
```
data_Ca14MnBi11
_chemical_formula_sum 'Ca112 Mn8 Bi88'
_cell_length_a 17.205
_cell_length_b 17.205
_cell_length_c 22.526
_cell_angle_alpha 90.00
_cell_angle_beta 90.00
_cell_angle_gamma 90.00
_space_group_name_H-M_alt 'I 41/a c d'
_space_group_IT_number 142
loop_
_space_group_symop_operation_xyz
'x,y,z'
'-x,-y,-z'
'-y+1/4,x+3/4,z+1/4'
'y+1/4,-x+3/4,-z+1/4'
'-x+1/2,-y,z+1/2'
'x+1/2,y,-z+1/2'
'y+1/4,-x+1/4,z+3/4'
'-y+1/4,x+1/4,-z+3/4'
'x,-y,-z+1/2'
'-x,y,z+1/2'
'-y+1/4,-x+1/4,-z+1/4'
'y+1/4,x+1/4,z+1/4'
'-x+1/2,y,-z'
'x+1/2,-y,z'
'y+1/4,x+3/4,-z+3/4'
'-y+1/4,-x+3/4,z+3/4'
'x+1/2,y+1/2,z+1/2'
'-x+1/2,-y+1/2,-z+1/2'
'-y+3/4,x+1/4,z+3/4'
'y+3/4,-x+1/4,-z+3/4'
'-x,-y+1/2,z'
'x,y+1/2,-z'
'y+3/4,-x+3/4,z+1/4'
'-y+3/4,x+3/4,-z+1/4'
'x+1/2,-y+1/2,-z'
'-x+1/2,y+1/2,z'
'-y+3/4,-x+3/4,-z+3/4'
'y+3/4,x+3/4,z+3/4'
'-x,y+1/2,-z+1/2'
'x,-y+1/2,z+1/2'
'y+3/4,x+1/4,-z+1/4'
'-y+3/4,-x+1/4,z+1/4'
loop_
_atom_site_label
_atom_site_type_symbol
_atom_site_fract_x
_atom_site_fract_y
_atom_site_fract_z
Ca1 Ca 0.022 0.124 0.001
Ca2 Ca 0.042 0.074 0.672
Ca3 Ca 0.145 0.000 0.250
Ca4 Ca 0.161 0.071 0.408
Mn1 Mn 0.000 0.250 0.375
Bi1 Bi 0.000 0.250 0.125
Bi2 Bi 0.005 0.110 0.313
Bi3 Bi 0.130 0.027 0.547
Bi4 Bi 0.137 0.113 0.125
```

Calculated values
ΔH_f (0 K), eV per formula unit: -21.15



Entry from Alexandria: an optimized crystal structure of Ba2AlSe3 (PBE).

CIF file:
```
data_Ba2AlSe3
_chemical_formula_sum 'Ba4 Al2 Se6'
_cell_length_a 4.489
_cell_length_b 5.067
_cell_length_c 16.787
_cell_angle_alpha 90.00
_cell_angle_beta 90.00
_cell_angle_gamma 90.00
_space_group_name_H-M_alt 'I m m m'
_space_group_IT_number 71
_space_group_name_Hall '-I 2 2'
loop_
_atom_site_label
_atom_site_type_symbol
_atom_site_fract_x
_atom_site_fract_y
_atom_site_fract_z
Ba1 Ba 0.000 0.000 0.145
Al1 Al 0.000 0.000 0.500
Se1 Se 0.000 0.000 0.344
Se2 Se 0.000 0.500 0.500
```

Calculated values
Raw formation energy, eV/atom: -1.4415



Entry from Alexandria: an optimized crystal structure of LiAu (PBE).

CIF file:
```
data_LiAu
_chemical_formula_sum 'Li4 Au4'
_cell_length_a 9.601
_cell_length_b 2.813
_cell_length_c 4.767
_cell_angle_alpha 90.00
_cell_angle_beta 97.71
_cell_angle_gamma 90.00
_space_group_name_H-M_alt 'C 1 2/m 1'
_space_group_IT_number 12
loop_
_space_group_symop_operation_xyz
'x,y,z'
'-x,-y,-z'
'-x,y,-z'
'x,-y,z'
'x+1/2,y+1/2,z'
'-x+1/2,-y+1/2,-z'
'-x+1/2,y+1/2,-z'
'x+1/2,-y+1/2,z'
loop_
_atom_site_label
_atom_site_type_symbol
_atom_site_fract_x
_atom_site_fract_y
_atom_site_fract_z
Li1 Li 0.115 0.000 0.336
Au1 Au 0.126 0.500 0.833
```

Calculated values
ΔH_f (0 K), eV per formula unit: -0.98



Entry from Alexandria: an optimized crystal structure of Pu5RuPt2 (PBE).

CIF file:
```
data_Pu5RuPt2
_chemical_formula_sum 'Pu10 Ru2 Pt4'
_cell_length_a 7.681
_cell_length_b 11.504
_cell_length_c 4.236
_cell_angle_alpha 90.00
_cell_angle_beta 90.00
_cell_angle_gamma 90.00
_space_group_name_H-M_alt 'P b a m'
_space_group_IT_number 55
loop_
_space_group_symop_operation_xyz
'x,y,z'
'-x,-y,-z'
'-x,-y,z'
'x,y,-z'
'x+1/2,-y+1/2,-z'
'-x+1/2,y+1/2,z'
'-x+1/2,y+1/2,-z'
'x+1/2,-y+1/2,z'
loop_
_atom_site_label
_atom_site_type_symbol
_atom_site_fract_x
_atom_site_fract_y
_atom_site_fract_z
Pu1 Pu 0.000 0.000 0.000
Pu2 Pu 0.157 0.288 0.000
Pu3 Pu 0.191 0.582 0.500
Ru1 Ru 0.000 0.500 0.000
Pt1 Pt 0.074 0.833 0.500
```

Calculated values
ΔH_f (0 K), eV per formula unit: -3.11